1.
An optimized crystal structure of Cs3AgI4, computed with PBE.

Lattice parameters (Å, degrees): 5.1944 11.6265 15.8487 90.00 90.00 90.00
Closest atoms and distances in Å follow each position.
Sites, in units of the cell vectors:
1 Cs 0.5643 0.3248 0.3359  5 I 3.73-3.98, 1 Ag 3.98
2 Cs 0.0643 0.6752 0.1641  5 I 3.73-3.98, 1 Ag 3.98
3 Cs 0.5644 0.1417 0.0000  6 I 3.78-4.06, 2 Ag 4.11
4 Cs 0.0643 0.6752 0.8359  5 I 3.73-3.98, 1 Ag 3.98
5 Cs 0.5643 0.3248 0.6641  5 I 3.73-3.98, 1 Ag 3.98
6 Cs 0.0644 0.8583 0.5000  6 I 3.78-4.06, 2 Ag 4.11
7 I 0.0645 0.4561 0.5000  2 Ag 2.99
8 I 0.5647 0.6981 0.3425  1 Ag 2.83
9 I 0.0642 0.9052 0.0000  4 Cs 3.73-3.78
10 I 0.0647 0.3019 0.8425  1 Ag 2.83
11 I 0.5642 0.0948 0.5000  4 Cs 3.73-3.78
12 I 0.5647 0.6981 0.6575  1 Ag 2.83
13 I 0.5645 0.5439 0.0000  2 Ag 2.99
14 I 0.0647 0.3019 0.1575  1 Ag 2.83
15 Ag 0.0642 0.4160 0.0000  4 I 2.83-2.99
16 Ag 0.5642 0.5840 0.5000  4 I 2.83-2.99

## Properties
* DOS at the Fermi energy: 0.000 states/eV per cell
* space group: No. 59
* VASP energy: -2.64 eV per atom
* polymorph energy (0 for the lowest one): 0 meV/atom
* crystal system: orthorhombic
* formation energy without anion corrections: -1.190 eV per atom

---

2.
An optimized crystal structure of Tl4PPt, computed with PBE.

Lattice parameters (Å, degrees): 6.1498 6.1498 6.1498 60.00 60.00 60.00
Closest atoms and distances in Å follow each position.
Sites, in units of the cell vectors:
1 Pt 0.0000 0.0000 0.0000  12 Tl 3.61, 4 P 3.77
2 Tl 0.3750 0.3750 0.8750  6 Tl 3.07-3.08
3 Tl 0.3750 0.8750 0.3750  6 Tl 3.07-3.08
4 Tl 0.3750 0.3750 0.3750  6 Tl 3.07-3.08
5 Tl 0.8750 0.3750 0.3750  6 Tl 3.07-3.08
6 P 0.7500 0.7500 0.7500  12 Tl 3.61, 4 Pt 3.77

## Properties
* DOS at the Fermi energy: 4.789 states/eV per cell
* space group: No. 216
* VASP energy: -2.74 eV per atom
* energy of formation: 0.748 eV/atom
* crystal system: cubic

---

3.
An optimized crystal structure of BaVW3, computed with PBE.

Lattice parameters (Å, degrees): 4.7932 4.7932 4.7932 90.00 90.00 90.00
Closest atoms and distances in Å follow each position.
Sites, in units of the cell vectors:
1 W 0.0000 0.5000 0.0000  2 V 2.40
2 W 0.5000 0.0000 0.0000  2 V 2.40
3 W 0.0000 0.0000 0.5000  2 V 2.40
4 V 0.0000 0.0000 0.0000  6 W 2.40
5 Ba 0.5000 0.5000 0.5000  12 W 3.39

## Properties
* DOS at the Fermi energy: 6.890 states/eV per cell
* space group: No. 221
* VASP energy: -8.29 eV per atom
* energy of formation: 1.688 eV/atom
* polymorph energy (0 for the lowest one): 0 meV/atom
* crystal system: cubic

---

4.
An optimized crystal structure of Tl3H4Cl3O2, computed with PBE.

Lattice parameters (Å, degrees): 5.4155 5.5413 10.7690 104.91 104.56 90.00
Closest atoms and distances in Å follow each position.
Sites, in units of the cell vectors:
1 H 0.9974 0.8342 0.6684  1 O 0.99
2 H 0.3291 0.1658 0.3316  1 O 0.99
3 H 0.6257 0.1706 0.3413  1 O 0.99
4 H 0.2844 0.8294 0.6587  1 O 0.99
5 Tl 0.7957 0.6560 0.3121  2 H 2.96, 4 Cl 3.09-3.21, 2 O 3.30
6 Tl 0.2423 0.0000 0.0000  2 O 2.82, 2 Cl 3.13
7 Tl 0.4836 0.3440 0.6879  2 H 2.96, 4 Cl 3.09-3.21, 2 O 3.30
8 Cl 0.5955 0.7822 0.5643  2 H 2.16
9 Cl 0.0312 0.2178 0.4357  2 H 2.16
10 Cl 0.5108 0.5000 0.0000  4 Tl 3.13-3.21
11 O 0.4549 0.1388 0.2775  2 H 0.99
12 O 0.1773 0.8612 0.7225  2 H 0.99

## Properties
* DOS at the Fermi energy: 0.000 states/eV per cell
* space group: No. 44
* VASP energy: -3.96 eV per atom
* crystal system: orthorhombic